# TlMoBrO2

A relaxed TlMoBrO2 crystal (GGA+U, the Alexandria database).

Summary:
The total energy comes out at -5.03 eV per atom. The calculation puts the total moment at 2.0 μB/f.u.

```
TlMoBrO2
1.0
-2.071 3.535 -0.739
0.937 -0.570 -5.348
-3.540 -2.156 -0.391
O Mo Tl Br
2 1 1 1
direct
0.500 0.000 0.000
0.000 0.000 0.500
0.000 0.000 0.000
0.500 0.500 0.500
0.000 0.500 0.000
```